Hf6SnIr after structural relaxation. Source: Alexandria, functional PBE.

Cell lengths 8.0584, 8.0584, 8.9775 Å; angles 90.00, 90.00, 120.00 degrees
With the nearest neighbours (Å) after each atom.
Space group R-3 (No. 148, hexagonal axes)
Symmetry-distinct sites (fractional):
Hf: 0.0158 0.7726 0.2232 x18  2 Hf 2.75-2.90, 1 Ir 2.76
Sn: 0.0000 0.0000 0.5000 x3  12 Hf 3.12-3.13
Ir: 0.0000 0.0000 0.0000 x3  6 Hf 2.76

Energy of formation from the pure elements ... -2.66 eV/f.u.
M_tot ... 0.0 μB/cell
Mass density ... 13.64 g/cm3